A plane-wave DFT calculation with PBE was carried out for an optimized crystal structure of Zr2AlMo.

```
Zr2AlMo
1.0
-3.458 0.191 -0.047
-0.110 -1.191 3.251
0.299 5.945 2.188
Mo Zr Al
1 2 1
Direct
0.500 0.500 0.720
0.000 0.000 0.978
0.500 0.500 0.276
0.000 0.000 0.526
```

Properties
Fermi-level density of states: 3.254 states/eV per cell
Total magnetization: 0.00 μB/cell
Calculated density: 6.66 Mg/m³
Energy: -0.5926 Ry/atom
Crystal system: tetragonal

A plane-wave DFT calculation with PBE was carried out for an optimized crystal structure of ZrAlMo2.

```
ZrAlMo2
1.0
-1.533 -1.346 -2.498
2.821 -0.420 -1.505
0.632 -6.048 2.871
Mo Zr Al
2 1 1
Direct
0.000 0.000 0.009
0.500 0.500 0.218
0.000 0.000 0.491
0.500 0.500 0.783
```

Properties
Fermi-level density of states: 3.342 states/eV per cell
Total magnetization: 0.00 μB/cell
Calculated density: 7.36 Mg/m³
Energy: -0.6359 Ry/atom
Crystal system: tetragonal

Which formula does entry 1 have?
Zr2AlMo

The highest Fermi-level density of states belongs to which entry?
ZrAlMo2

Among the records above, which one has the lowest calculated density?
Zr2AlMo